[1]
# ScPaCu2Si2 | Alexandria via LeMat-Bulk | GGA-PBE | optimized geometry
data_ScPaCu2Si2
_cell_length_a 4.0791
_cell_length_b 4.0791
_cell_length_c 7.1523
_cell_angle_alpha 90.00
_cell_angle_beta 90.00
_cell_angle_gamma 120.00
_space_group_name_H-M_alt 'P 1'
_space_group_IT_number 1
loop_
_space_group_symop_operation_xyz
'x,y,z'
loop_
_atom_site_label
_atom_site_type_symbol
_atom_site_fract_x
_atom_site_fract_y
_atom_site_fract_z
Sc1 Sc 0.0000 0.0000 0.5000
Pa1 Pa 0.0000 0.0000 0.0000
Cu1 Cu 0.3333 0.6667 0.7238
Cu2 Cu 0.6667 0.3333 0.2762
Si1 Si 0.3333 0.6667 0.2602
Si2 Si 0.6667 0.3333 0.7398
# - Space group: No. 164
# - Crystal system: trigonal
# - Raw formation energy: -540 meV per atom
# - Total magnetization: 0.0 μB/f.u.
# - Density of states at the Fermi level: 0.850 states/eV/atom

---

[2]
# ScPaCuSi | Alexandria via LeMat-Bulk | GGA-PBE | optimized geometry
data_ScPaCuSi
_cell_length_a 4.7768
_cell_length_b 4.7768
_cell_length_c 4.7768
_cell_angle_alpha 60.00
_cell_angle_beta 60.00
_cell_angle_gamma 60.00
_space_group_name_H-M_alt 'P 1'
_space_group_IT_number 1
loop_
_space_group_symop_operation_xyz
'x,y,z'
loop_
_atom_site_label
_atom_site_type_symbol
_atom_site_fract_x
_atom_site_fract_y
_atom_site_fract_z
Sc1 Sc 0.5000 0.5000 0.5000
Si1 Si 0.7500 0.7500 0.7500
Pa1 Pa 0.0000 0.0000 0.0000
Cu1 Cu 0.2500 0.2500 0.2500
# - Space group: No. 216
# - Crystal system: cubic
# - Raw formation energy: -229 meV per atom
# - Total magnetization: 0.0 μB/f.u.
# - Density of states at the Fermi level: 1.109 states/eV/atom

---

[3]
# ScPaCuTc | Alexandria via LeMat-Bulk | GGA-PBE | optimized geometry
data_ScPaCuTc
_cell_length_a 4.7444
_cell_length_b 4.7444
_cell_length_c 4.7444
_cell_angle_alpha 60.00
_cell_angle_beta 60.00
_cell_angle_gamma 60.00
_space_group_name_H-M_alt 'P 1'
_space_group_IT_number 1
loop_
_space_group_symop_operation_xyz
'x,y,z'
loop_
_atom_site_label
_atom_site_type_symbol
_atom_site_fract_x
_atom_site_fract_y
_atom_site_fract_z
Sc1 Sc 0.5000 0.5000 0.5000
Pa1 Pa 0.0000 0.0000 0.0000
Tc1 Tc 0.2500 0.2500 0.2500
Cu1 Cu 0.7500 0.7500 0.7500
# - Space group: No. 216
# - Crystal system: cubic
# - Total magnetization: 0.0 μB/f.u.
# - DFT formation energy: -0.14 eV per atom
# - Density of states at the Fermi level: 1.508 states/eV/atom

---

[4]
# Pa2CuSe | Alexandria via LeMat-Bulk | GGA-PBE | optimized geometry
data_Pa2CuSe
_cell_length_a 3.3111
_cell_length_b 3.3111
_cell_length_c 10.2058
_cell_angle_alpha 80.66
_cell_angle_beta 80.66
_cell_angle_gamma 60.00
_space_group_name_H-M_alt 'P 1'
_space_group_IT_number 1
loop_
_space_group_symop_operation_xyz
'x,y,z'
loop_
_atom_site_label
_atom_site_type_symbol
_atom_site_fract_x
_atom_site_fract_y
_atom_site_fract_z
Pa1 Pa 0.0937 0.0937 0.7189
Pa2 Pa 0.9063 0.9063 0.2811
Cu1 Cu 0.0000 0.0000 0.0000
Se1 Se 0.5000 0.5000 0.5000
# - Space group: No. 166
# - Crystal system: trigonal
# - Raw formation energy: 178 meV per atom
# - Total magnetization: 1.2 μB/f.u.
# - Density of states at the Fermi level: 1.950 states/eV/atom

---

[5]
# Pa3Cu5Se12 | Alexandria via LeMat-Bulk | GGA-PBE | optimized geometry
data_Pa3Cu5Se12
_cell_length_a 13.3508
_cell_length_b 13.3508
_cell_length_c 13.3508
_cell_angle_alpha 109.47
_cell_angle_beta 109.47
_cell_angle_gamma 109.47
_space_group_name_H-M_alt 'P 1'
_space_group_IT_number 1
loop_
_space_group_symop_operation_xyz
'x,y,z'
loop_
_atom_site_label
_atom_site_type_symbol
_atom_site_fract_x
_atom_site_fract_y
_atom_site_fract_z
Pa1 Pa 0.7500 0.3750 0.1250
Pa2 Pa 0.8750 0.7500 0.1250
Pa3 Pa 0.3750 0.7500 0.6250
Pa4 Pa 0.2500 0.1250 0.3750
Pa5 Pa 0.8750 0.1250 0.2500
Pa6 Pa 0.3750 0.6250 0.2500
Pa7 Pa 0.6250 0.3750 0.7500
Pa8 Pa 0.1250 0.8750 0.7500
Pa9 Pa 0.7500 0.8750 0.6250
Pa10 Pa 0.6250 0.2500 0.3750
Pa11 Pa 0.1250 0.2500 0.8750
Pa12 Pa 0.2500 0.6250 0.8750
Cu1 Cu 0.1250 0.3750 0.2500
Cu2 Cu 0.0000 0.5000 0.0000
Cu3 Cu 0.0000 0.0000 0.0000
Cu4 Cu 0.3750 0.2500 0.1250
Cu5 Cu 0.5000 0.0000 0.5000
Cu6 Cu 0.5000 0.5000 0.0000
Cu7 Cu 0.1250 0.7500 0.3750
Cu8 Cu 0.7500 0.1250 0.8750
Cu9 Cu 0.7500 0.6250 0.3750
Cu10 Cu 0.3750 0.1250 0.7500
Cu11 Cu 0.6250 0.8750 0.2500
Cu12 Cu 0.5000 0.5000 0.5000
Cu13 Cu 0.5000 0.0000 0.0000
Cu14 Cu 0.0000 0.0000 0.5000
Cu15 Cu 0.2500 0.3750 0.6250
Cu16 Cu 0.2500 0.8750 0.1250
Cu17 Cu 0.0000 0.5000 0.5000
Cu18 Cu 0.8750 0.2500 0.6250
Cu19 Cu 0.6250 0.7500 0.8750
Cu20 Cu 0.8750 0.6250 0.7500
Se1 Se 0.7141 0.1259 0.0383
Se2 Se 0.3242 0.5383 0.4124
Se3 Se 0.9617 0.3741 0.2859
Se4 Se 0.5383 0.2141 0.1259
Se5 Se 0.5882 0.7141 0.6758
Se6 Se 0.9617 0.5876 0.1758
Se7 Se 0.3242 0.7859 0.4118
Se8 Se 0.0876 0.9118 0.1259
Se9 Se 0.5876 0.9617 0.6758
Se10 Se 0.7141 0.5882 0.1758
Se11 Se 0.7859 0.4617 0.3741
Se12 Se 0.8242 0.9124 0.0383
Se13 Se 0.1259 0.7141 0.5383
Se14 Se 0.3741 0.4124 0.0882
Se15 Se 0.0882 0.9124 0.3741
Se16 Se 0.4118 0.1259 0.5876
Se17 Se 0.0882 0.1758 0.2141
Se18 Se 0.4617 0.6758 0.0876
Se19 Se 0.8242 0.9118 0.2859
Se20 Se 0.1259 0.4118 0.0876
Se21 Se 0.3741 0.9617 0.7859
Se22 Se 0.5876 0.6259 0.4118
Se23 Se 0.9124 0.8242 0.5383
Se24 Se 0.7859 0.3242 0.9118
Se25 Se 0.4124 0.3741 0.5882
Se26 Se 0.0876 0.1758 0.4617
Se27 Se 0.2141 0.6758 0.0882
Se28 Se 0.1758 0.0882 0.7141
Se29 Se 0.6259 0.0383 0.2141
Se30 Se 0.8741 0.5882 0.9124
Se31 Se 0.5383 0.3242 0.9124
Se32 Se 0.5882 0.8741 0.4124
Se33 Se 0.9118 0.8242 0.7859
Se34 Se 0.9118 0.0876 0.6259
Se35 Se 0.8741 0.2859 0.4617
Se36 Se 0.1758 0.0876 0.9617
Se37 Se 0.6259 0.5876 0.9118
Se38 Se 0.4124 0.0383 0.3242
Se39 Se 0.2859 0.4118 0.8242
Se40 Se 0.2141 0.5383 0.6259
Se41 Se 0.9124 0.0882 0.8741
Se42 Se 0.6758 0.2141 0.5882
Se43 Se 0.4617 0.7859 0.8741
Se44 Se 0.0383 0.4124 0.8242
Se45 Se 0.4118 0.2859 0.3242
Se46 Se 0.0383 0.6259 0.7141
Se47 Se 0.6758 0.4617 0.5876
Se48 Se 0.2859 0.8741 0.9617
# - Space group: No. 230
# - Crystal system: cubic
# - Raw formation energy: -716 meV per atom
# - Total magnetization: 0.0 μB/f.u.
# - Density of states at the Fermi level: 0.593 states/eV/atom

---

[6]
# PaCu2Se4 | Alexandria via LeMat-Bulk | GGA-PBE | optimized geometry
data_PaCu2Se4
_cell_length_a 7.7590
_cell_length_b 7.7590
_cell_length_c 10.8919
_cell_angle_alpha 90.00
_cell_angle_beta 90.00
_cell_angle_gamma 90.00
_space_group_name_H-M_alt 'P 1'
_space_group_IT_number 1
loop_
_space_group_symop_operation_xyz
'x,y,z'
loop_
_atom_site_label
_atom_site_type_symbol
_atom_site_fract_x
_atom_site_fract_y
_atom_site_fract_z
Pa1 Pa 0.0000 0.7056 0.5000
Pa2 Pa 0.2944 0.0000 0.7500
Pa3 Pa 0.7056 0.0000 0.2500
Pa4 Pa 0.0000 0.2944 0.0000
Se1 Se 0.2445 0.9816 0.4953
Se2 Se 0.7555 0.9816 0.5047
Se3 Se 0.0184 0.2445 0.7453
Se4 Se 0.7555 0.0184 0.9953
Se5 Se 0.2742 0.5164 0.9809
Se6 Se 0.4836 0.2742 0.2309
Se7 Se 0.5164 0.7258 0.7309
Se8 Se 0.2742 0.4836 0.5191
Se9 Se 0.7258 0.5164 0.0191
Se10 Se 0.7258 0.4836 0.4809
Se11 Se 0.5164 0.2742 0.7691
Se12 Se 0.4836 0.7258 0.2691
Se13 Se 0.9816 0.2445 0.2547
Se14 Se 0.2445 0.0184 0.0047
Se15 Se 0.9816 0.7555 0.2453
Se16 Se 0.0184 0.7555 0.7547
Cu1 Cu 0.7499 0.7499 0.8750
Cu2 Cu 0.2501 0.7499 0.1250
Cu3 Cu 0.7499 0.2501 0.6250
Cu4 Cu 0.2501 0.2501 0.3750
Cu5 Cu 0.7587 0.5000 0.2500
Cu6 Cu 0.5000 0.2413 0.0000
Cu7 Cu 0.5000 0.7587 0.5000
Cu8 Cu 0.2413 0.5000 0.7500
# - Space group: No. 91
# - Crystal system: tetragonal
# - Excess energy over the best structure of this formula in the dataset: 0.0 meV per atom
# - Raw formation energy: -651 meV per atom
# - Total magnetization: 0.0 μB/f.u.
# - Density of states at the Fermi level: 0.735 states/eV/atom

---

[7]
# PaCu5Se6 | Alexandria via LeMat-Bulk | GGA-PBE | optimized geometry
data_PaCu5Se6
_cell_length_a 6.5226
_cell_length_b 6.5436
_cell_length_c 6.4745
_cell_angle_alpha 59.65
_cell_angle_beta 80.57
_cell_angle_gamma 71.08
_space_group_name_H-M_alt 'P 1'
_space_group_IT_number 1
loop_
_space_group_symop_operation_xyz
'x,y,z'
loop_
_atom_site_label
_atom_site_type_symbol
_atom_site_fract_x
_atom_site_fract_y
_atom_site_fract_z
Pa1 Pa 0.0000 0.0000 0.0000
Cu1 Cu 0.5000 0.1474 0.7051
Cu2 Cu 0.0000 0.3272 0.3455
Cu3 Cu 0.5000 0.5000 0.0000
Cu4 Cu 0.0000 0.6728 0.6545
Cu5 Cu 0.5000 0.8526 0.2949
Se1 Se 0.7334 0.0784 0.3509
Se2 Se 0.2666 0.5707 0.3509
Se3 Se 0.2492 0.2775 0.0000
Se4 Se 0.7508 0.7225 0.0000
Se5 Se 0.7334 0.4293 0.6491
Se6 Se 0.2666 0.9216 0.6491
# - Space group: No. 12
# - Crystal system: monoclinic
# - Raw formation energy: -387 meV per atom
# - Total magnetization: 0.0 μB/f.u.
# - Density of states at the Fermi level: 0.665 states/eV/atom

---

[8]
# PaCuSe5 | Alexandria via LeMat-Bulk | GGA-PBE | optimized geometry
data_PaCuSe5
_cell_length_a 7.4919
_cell_length_b 7.4919
_cell_length_c 8.4922
_cell_angle_alpha 63.69
_cell_angle_beta 63.69
_cell_angle_gamma 76.24
_space_group_name_H-M_alt 'P 1'
_space_group_IT_number 1
loop_
_space_group_symop_operation_xyz
'x,y,z'
loop_
_atom_site_label
_atom_site_type_symbol
_atom_site_fract_x
_atom_site_fract_y
_atom_site_fract_z
Pa1 Pa 0.5595 0.4405 0.2500
Pa2 Pa 0.4405 0.5595 0.7500
Cu1 Cu 0.0000 0.0000 0.0000
Cu2 Cu 0.0000 0.0000 0.5000
Se1 Se 0.7317 0.8059 0.0786
Se2 Se 0.4234 0.7727 0.3715
Se3 Se 0.8059 0.7317 0.5786
Se4 Se 0.8609 0.1391 0.2500
Se5 Se 0.2273 0.5766 0.1285
Se6 Se 0.7727 0.4234 0.8715
Se7 Se 0.1391 0.8609 0.7500
Se8 Se 0.1941 0.2683 0.4214
Se9 Se 0.5766 0.2273 0.6285
Se10 Se 0.2683 0.1941 0.9214
# - Space group: No. 15
# - Crystal system: monoclinic
# - Raw formation energy: -534 meV per atom
# - Total magnetization: 0.0 μB/f.u.
# - Density of states at the Fermi level: 0.064 states/eV/atom

---

[9]
# Pa2CuSe6 | Alexandria via LeMat-Bulk | GGA-PBE | optimized geometry
data_Pa2CuSe6
_cell_length_a 6.4331
_cell_length_b 7.3335
_cell_length_c 8.9341
_cell_angle_alpha 90.00
_cell_angle_beta 88.39
_cell_angle_gamma 90.00
_space_group_name_H-M_alt 'P 1'
_space_group_IT_number 1
loop_
_space_group_symop_operation_xyz
'x,y,z'
loop_
_atom_site_label
_atom_site_type_symbol
_atom_site_fract_x
_atom_site_fract_y
_atom_site_fract_z
Pa1 Pa 0.9477 0.3613 0.7428
Pa2 Pa 0.5523 0.8613 0.7572
Pa3 Pa 0.4477 0.1387 0.2428
Pa4 Pa 0.0523 0.6387 0.2572
Cu1 Cu 0.5000 0.5000 0.0000
Cu2 Cu 0.0000 0.0000 0.5000
Se1 Se 0.8432 0.9667 0.2480
Se2 Se 0.8284 0.6646 0.5584
Se3 Se 0.8350 0.6646 0.9410
Se4 Se 0.6650 0.1646 0.5590
Se5 Se 0.6716 0.1646 0.9416
Se6 Se 0.6567 0.4667 0.2520
Se7 Se 0.1568 0.0333 0.7520
Se8 Se 0.1716 0.3354 0.4416
Se9 Se 0.1650 0.3354 0.0590
Se10 Se 0.3350 0.8354 0.4410
Se11 Se 0.3284 0.8354 0.0584
Se12 Se 0.3432 0.5333 0.7480
# - Space group: No. 14
# - Crystal system: monoclinic
# - Raw formation energy: -1018 meV per atom
# - Total magnetization: 0.0 μB/f.u.
# - Density of states at the Fermi level: 0.569 states/eV/atom

---

[10]
# PaCu2Se3 | Alexandria via LeMat-Bulk | GGA-PBE | optimized geometry
data_PaCu2Se3
_cell_length_a 4.0532
_cell_length_b 7.2789
_cell_length_c 10.1640
_cell_angle_alpha 98.86
_cell_angle_beta 101.50
_cell_angle_gamma 90.00
_space_group_name_H-M_alt 'P 1'
_space_group_IT_number 1
loop_
_space_group_symop_operation_xyz
'x,y,z'
loop_
_atom_site_label
_atom_site_type_symbol
_atom_site_fract_x
_atom_site_fract_y
_atom_site_fract_z
Pa1 Pa 0.3443 0.9740 0.6885
Pa2 Pa 0.6557 0.0260 0.3115
Cu1 Cu 0.2923 0.5608 0.5845
Cu2 Cu 0.7077 0.4392 0.4155
Cu3 Cu 0.9508 0.8449 0.9015
Cu4 Cu 0.0492 0.1551 0.0985
Se1 Se 0.2465 0.2369 0.4930
Se2 Se 0.0758 0.8324 0.1516
Se3 Se 0.4132 0.6708 0.8263
Se4 Se 0.7535 0.7631 0.5070
Se5 Se 0.5868 0.3292 0.1737
Se6 Se 0.9242 0.1676 0.8484
# - Space group: No. 12
# - Crystal system: monoclinic
# - Raw formation energy: -724 meV per atom
# - Total magnetization: 1.0 μB/f.u.
# - Density of states at the Fermi level: 0.683 states/eV/atom

---

[11]
# Pa2Cu3Se6 | Alexandria via LeMat-Bulk | GGA-PBE | optimized geometry
data_Pa2Cu3Se6
_cell_length_a 7.3362
_cell_length_b 7.3435
_cell_length_c 14.2166
_cell_angle_alpha 75.20
_cell_angle_beta 75.05
_cell_angle_gamma 60.03
_space_group_name_H-M_alt 'P 1'
_space_group_IT_number 1
loop_
_space_group_symop_operation_xyz
'x,y,z'
loop_
_atom_site_label
_atom_site_type_symbol
_atom_site_fract_x
_atom_site_fract_y
_atom_site_fract_z
Pa1 Pa 0.3267 0.8266 0.0200
Pa2 Pa 0.8267 0.3266 0.5200
Pa3 Pa 0.6733 0.1734 0.9800
Pa4 Pa 0.1733 0.6734 0.4800
Cu1 Cu 0.9456 0.0548 0.7500
Cu2 Cu 0.5551 0.2500 0.7500
Cu3 Cu 0.7505 0.4452 0.7500
Cu4 Cu 0.2495 0.5548 0.2500
Cu5 Cu 0.0544 0.9452 0.2500
Cu6 Cu 0.4449 0.7500 0.2500
Se1 Se 0.0571 0.8584 0.8989
Se2 Se 0.3593 0.1839 0.8989
Se3 Se 0.6864 0.5560 0.8994
Se4 Se 0.1856 0.3584 0.3989
Se5 Se 0.8582 0.0560 0.3994
Se6 Se 0.5579 0.6839 0.3989
Se7 Se 0.9429 0.1416 0.1011
Se8 Se 0.6407 0.8161 0.1011
Se9 Se 0.3136 0.4440 0.1006
Se10 Se 0.8144 0.6416 0.6011
Se11 Se 0.1418 0.9440 0.6006
Se12 Se 0.4421 0.3161 0.6011
# - Space group: No. 15
# - Crystal system: monoclinic
# - Raw formation energy: -760 meV per atom
# - Total magnetization: 0.0 μB/f.u.
# - Density of states at the Fermi level: 0.447 states/eV/atom

---

[12]
# Pa2CuSe4 | Alexandria via LeMat-Bulk | GGA-PBE | optimized geometry
data_Pa2CuSe4
_cell_length_a 4.0103
_cell_length_b 6.9980
_cell_length_c 7.4703
_cell_angle_alpha 116.26
_cell_angle_beta 105.57
_cell_angle_gamma 90.00
_space_group_name_H-M_alt 'P 1'
_space_group_IT_number 1
loop_
_space_group_symop_operation_xyz
'x,y,z'
loop_
_atom_site_label
_atom_site_type_symbol
_atom_site_fract_x
_atom_site_fract_y
_atom_site_fract_z
Pa1 Pa 0.7428 0.7415 0.4855
Pa2 Pa 0.2572 0.2585 0.5145
Cu1 Cu 0.0000 0.0000 0.0000
Se1 Se 0.8831 0.1936 0.7662
Se2 Se 0.1169 0.8064 0.2338
Se3 Se 0.6176 0.2796 0.2351
Se4 Se 0.3824 0.7204 0.7649
# - Space group: No. 12
# - Crystal system: monoclinic
# - Raw formation energy: -999 meV per atom
# - Total magnetization: 3.0 μB/f.u.
# - Density of states at the Fermi level: 1.213 states/eV/atom